Entry 1:
Compound: K2CrCo
Source: Alexandria
Functional: PBE
Structure: optimized geometry

Cell: 7.6330 7.6330 7.6330 Å, 90.00 90.00 90.00°
With the nearest neighbours (Å) after each atom.
Atoms (fractional coordinates):
K1 0.0000 0.0000 0.0000  4 K 3.31, 4 Cr 3.31
K2 0.0000 0.5000 0.5000  4 K 3.31, 4 Cr 3.31
K3 0.2500 0.2500 0.2500  4 K 3.31, 4 Co 3.31
K4 0.2500 0.7500 0.7500  4 K 3.31, 4 Co 3.31
K5 0.5000 0.0000 0.5000  4 K 3.31, 4 Cr 3.31
K6 0.5000 0.5000 0.0000  4 K 3.31, 4 Cr 3.31
K7 0.7500 0.2500 0.7500  4 K 3.31, 4 Co 3.31
K8 0.7500 0.7500 0.2500  4 K 3.31, 4 Co 3.31
Cr1 0.2500 0.2500 0.7500  4 K 3.31, 4 Co 3.31
Cr2 0.2500 0.7500 0.2500  4 K 3.31, 4 Co 3.31
Cr3 0.7500 0.2500 0.2500  4 K 3.31, 4 Co 3.31
Cr4 0.7500 0.7500 0.7500  4 Co 3.31, 4 K 3.31
Co1 0.0000 0.0000 0.5000  4 Cr 3.31, 4 K 3.31
Co2 0.0000 0.5000 0.0000  4 Cr 3.31, 4 K 3.31
Co3 0.5000 0.0000 0.0000  4 Cr 3.31, 4 K 3.31
Co4 0.5000 0.5000 0.5000  4 Cr 3.31, 4 K 3.31

Output
* spin magnetization: 13.141 μB per cell
* energy of formation: 4.95 eV per formula unit
* E above lowest polymorph: 456.4 meV/atom


Entry 2:
Compound: La2YErIn2
Source: Alexandria
Functional: PBE
Structure: optimized geometry

Cell: 5.1369 10.2410 6.9100 Å, 90.00 90.00 90.00°
With the nearest neighbours (Å) after each atom.
Atoms (fractional coordinates):
La1 0.0000 0.0590 0.0000  2 La 3.24, 3 In 3.39-3.48
La2 0.0000 0.9410 0.5000  2 La 3.24, 3 In 3.39-3.48
La3 0.5000 0.1796 0.2236  2 La 3.24, 5 In 3.38-3.55
La4 0.5000 0.8204 0.7236  2 La 3.24, 5 In 3.38-3.55
Y1 0.5000 0.4593 0.8694  5 In 3.23-3.43, 2 Y 3.55, 2 Er 3.57
Y2 0.5000 0.5407 0.3694  5 In 3.23-3.43, 2 Y 3.55, 2 Er 3.57
Er1 0.0000 0.3098 0.5871  4 In 3.12-3.24
Er2 0.0000 0.6902 0.0871  4 In 3.12-3.24
In1 0.0000 0.3872 0.1320  2 Er 3.12-3.24, 4 Y 3.23-3.43, 3 La 3.39-3.48
In2 0.0000 0.6128 0.6320  2 Er 3.12-3.24, 4 Y 3.23-3.43, 3 La 3.39-3.48
In3 0.5000 0.1512 0.7115  2 Er 3.16, 1 Y 3.34, 4 La 3.38-3.39
In4 0.5000 0.8488 0.2115  2 Er 3.16, 1 Y 3.34, 4 La 3.38-3.39

Output
* spin magnetization: 0.000 μB per cell
* energy of formation: -2.20 eV per formula unit


Entry 3:
Compound: Li2MgSbH
Source: Alexandria
Functional: PBE
Structure: optimized geometry

Cell: 4.2215 4.2215 4.3738 Å, 90.00 90.00 90.00°
With the nearest neighbours (Å) after each atom.
Atoms (fractional coordinates):
Li1 0.0000 0.5000 0.0000  2 H 2.11
Li2 0.5000 0.0000 0.0000  2 H 2.11
Mg1 0.0000 0.0000 0.5000  2 H 2.19
Sb1 0.5000 0.5000 0.5000  4 Mg 2.99, 8 Li 3.04
H1 0.0000 0.0000 0.0000  4 Li 2.11, 2 Mg 2.19

Output
* spin magnetization: 0.000 μB per cell
* E_tot: -15.19 eV/f.u.


Entry 4:
Compound: RbCeZnO4
Source: Alexandria
Functional: PBE
Structure: optimized geometry

Cell: 5.6800 5.8478 7.7534 Å, 90.00 103.48 90.00°
With the nearest neighbours (Å) after each atom.
Atoms (fractional coordinates):
Rb1 0.1548 0.2500 0.0996  4 O 2.74-3.06
Rb2 0.8452 0.7500 0.9004  4 O 2.74-3.06
Ce1 0.1888 0.7500 0.4606  6 O 2.14-2.35
Ce2 0.8112 0.2500 0.5394  6 O 2.14-2.35
Zn1 0.3740 0.2500 0.6939  4 O 1.90-2.05
Zn2 0.6260 0.7500 0.3061  4 O 1.90-2.05
O1 0.1316 0.0078 0.6732  1 Zn 1.96
O2 0.1316 0.4922 0.6732  1 Zn 1.96
O3 0.2897 0.7500 0.1997  1 Zn 1.90
O4 0.4273 0.2500 0.4415  1 Zn 2.05, 1 Ce 2.14
O5 0.5727 0.7500 0.5585  1 Zn 2.05, 1 Ce 2.14
O6 0.7103 0.2500 0.8003  1 Zn 1.90
O7 0.8684 0.5078 0.3268  1 Zn 1.96
O8 0.8684 0.9922 0.3268  1 Zn 1.96

Output
* spin magnetization: 2.123 μB per cell
* energy relative to the elements, uncorrected: -191 kJ/mol of atoms


Entry 5:
Compound: TiCoSe3
Source: Alexandria
Functional: PBE
Structure: optimized geometry

Cell: 4.6176 4.6176 4.6176 Å, 90.00 90.00 90.00°
With the nearest neighbours (Å) after each atom.
Atoms (fractional coordinates):
Ti1 0.0000 0.0000 0.0000  12 Se 3.27
Co1 0.5000 0.5000 0.5000  6 Se 2.31
Se1 0.0000 0.5000 0.5000  2 Co 2.31
Se2 0.5000 0.0000 0.5000  2 Co 2.31
Se3 0.5000 0.5000 0.0000  2 Co 2.31

Output
* spin magnetization: 0.000 μB per cell
* energy relative to the elements, uncorrected: 20 kJ/mol of atoms
* E above lowest polymorph: 869.4 meV/atom


Entry 6:
Compound: Ho2ScUAs4
Source: Alexandria
Functional: PBE
Structure: optimized geometry

Cell: 6.9864 4.0329 7.0071 Å, 90.00 109.17 90.00°
With the nearest neighbours (Å) after each atom.
Atoms (fractional coordinates):
Ho1 0.0000 0.0000 0.0000  6 As 2.87-2.88
Ho2 0.5000 0.5000 0.0000  6 As 2.90-2.91
Sc1 0.0000 0.5000 0.5000  6 As 2.80-2.81
U1 0.5000 0.0000 0.5000  6 As 2.83-2.85
As1 0.2431 0.0000 0.7390  2 Sc 2.81, 1 U 2.83, 3 Ho 2.88-2.91
As2 0.2463 0.5000 0.2556  1 Sc 2.80, 2 U 2.85, 3 Ho 2.87-2.90
As3 0.7537 0.5000 0.7444  1 Sc 2.80, 2 U 2.85, 3 Ho 2.87-2.90
As4 0.7569 0.0000 0.2610  2 Sc 2.81, 1 U 2.83, 3 Ho 2.88-2.91

Output
* spin magnetization: 2.243 μB per cell
* energy of formation: -10.21 eV per formula unit


Entry 7:
Compound: NaPa2CrN4
Source: Alexandria
Functional: PBE
Structure: optimized geometry

Cell: 5.6805 5.6805 6.4723 Å, 90.00 90.00 90.00°
With the nearest neighbours (Å) after each atom.
Atoms (fractional coordinates):
Na1 0.0000 0.0000 0.0000  4 N 2.20
Na2 0.5000 0.5000 0.5000  4 N 2.20
Pa1 0.0000 0.5000 0.2500  4 N 2.37
Pa2 0.0000 0.5000 0.7500  4 N 2.37
Pa3 0.5000 0.0000 0.2500  4 N 2.37
Pa4 0.5000 0.0000 0.7500  4 N 2.37
Cr1 0.0000 0.0000 0.5000  4 N 1.88
Cr2 0.5000 0.5000 0.0000  4 N 1.88
N1 0.2296 0.2296 0.5573  1 Cr 1.88
N2 0.2296 0.7704 0.4427  1 Cr 1.88
N3 0.2704 0.2704 0.0573  1 Cr 1.88
N4 0.2704 0.7296 0.9427  1 Cr 1.88
N5 0.7296 0.2704 0.9427  1 Cr 1.88
N6 0.7296 0.7296 0.0573  1 Cr 1.88
N7 0.7704 0.2296 0.4427  1 Cr 1.88
N8 0.7704 0.7704 0.5573  1 Cr 1.88

Output
* spin magnetization: 2.393 μB per cell
* energy relative to the elements, uncorrected: -80 kJ/mol of atoms


Entry 8:
Compound: Na2AgAuI
Source: Alexandria
Functional: PBE
Structure: optimized geometry

Cell: 5.7700 5.7700 5.1175 Å, 90.00 90.00 90.00°
With the nearest neighbours (Å) after each atom.
Atoms (fractional coordinates):
Na1 0.0000 0.5000 0.0000  2 Ag 2.88
Na2 0.5000 0.0000 0.0000  2 Ag 2.88
Ag1 0.0000 0.0000 0.0000  2 Au 2.56
Au1 0.0000 0.0000 0.5000  2 Ag 2.56
I1 0.5000 0.5000 0.5000  8 Na 3.86, 4 Au 4.08

Output
* spin magnetization: 0.000 μB per cell
* energy relative to the elements, uncorrected: -20 kJ/mol of atoms


Entry 9:
Compound: AgPtSe
Source: Alexandria
Functional: PBE
Structure: optimized geometry

Cell: 3.3873 3.3873 5.8374 Å, 90.00 90.00 120.00°
With the nearest neighbours (Å) after each atom.
Atoms (fractional coordinates):
Ag1 0.0000 0.0000 0.0000  3 Pt 2.80, 3 Se 3.00
Pt1 0.3333 0.6667 0.3431  3 Se 2.50, 3 Ag 2.80
Se1 0.6667 0.3333 0.6102  3 Pt 2.50

Output
* spin magnetization: 0.000 μB per cell
* energy relative to the elements, uncorrected: 8 kJ/mol of atoms
* E above lowest polymorph: 57.9 meV/atom


Entry 10:
Compound: TaCr2Se
Source: Alexandria
Functional: PBE
Structure: optimized geometry

Cell: 3.1412 4.1815 8.7308 Å, 90.00 90.00 90.00°
With the nearest neighbours (Å) after each atom.
Atoms (fractional coordinates):
Ta1 0.0000 0.0000 0.0000  4 Se 2.61, 4 Cr 2.70
Ta2 0.5000 0.5000 0.5000  4 Se 2.61, 4 Cr 2.70
Cr1 0.0000 0.5000 0.2483  4 Cr 2.62, 2 Se 2.68, 2 Ta 2.70
Cr2 0.0000 0.5000 0.7517  4 Cr 2.62, 2 Se 2.68, 2 Ta 2.70
Cr3 0.5000 0.0000 0.2517  4 Cr 2.62, 2 Se 2.68, 2 Ta 2.70
Cr4 0.5000 0.0000 0.7483  4 Cr 2.62, 2 Se 2.68, 2 Ta 2.70
Se1 0.0000 0.0000 0.5000  4 Ta 2.61, 4 Cr 2.68
Se2 0.5000 0.5000 0.0000  4 Ta 2.61, 4 Cr 2.68

Output
* spin magnetization: 0.000 μB per cell
* energy relative to the elements, uncorrected: 26 kJ/mol of atoms


Entry 11:
Compound: CsReOs
Source: Alexandria
Functional: PBE
Structure: optimized geometry

Cell: 4.4337 4.4337 10.1131 Å, 90.00 90.00 90.00°
With the nearest neighbours (Å) after each atom.
Atoms (fractional coordinates):
Cs1 0.2500 0.2500 0.1771  4 Os 3.81, 4 Re 3.95
Cs2 0.7500 0.7500 0.8229  4 Os 3.81, 4 Re 3.95
Re1 0.2500 0.7500 0.5000  4 Os 2.47
Re2 0.7500 0.2500 0.5000  4 Os 2.47
Os1 0.2500 0.2500 0.6085  4 Re 2.47
Os2 0.7500 0.7500 0.3915  4 Re 2.47

Output
* spin magnetization: 0.001 μB per cell
* energy of formation: 2.24 eV per formula unit
* E above lowest polymorph: 0.0 meV/atom


Entry 12:
Compound: La2RhAu
Source: Alexandria
Functional: PBE
Structure: optimized geometry

Cell: 7.8056 7.8056 7.2748 Å, 90.00 90.00 90.00°
With the nearest neighbours (Å) after each atom.
Atoms (fractional coordinates):
La1 0.2195 0.2500 0.1250  2 Rh 2.75, 2 Au 3.07
La2 0.2500 0.7195 0.3750  2 Rh 2.75, 2 Au 3.07
La3 0.2500 0.7805 0.8750  2 Rh 2.75, 2 Au 3.07
La4 0.2805 0.2500 0.6250  2 Rh 2.75, 2 Au 3.07
La5 0.7195 0.7500 0.6250  2 Rh 2.75, 2 Au 3.07
La6 0.7500 0.2195 0.8750  2 Rh 2.75, 2 Au 3.07
La7 0.7500 0.2805 0.3750  2 Rh 2.75, 2 Au 3.07
La8 0.7805 0.7500 0.1250  2 Rh 2.75, 2 Au 3.07
Rh1 0.0000 0.0000 0.0000  4 La 2.75
Rh2 0.0000 0.5000 0.2500  4 La 2.75
Rh3 0.5000 0.0000 0.7500  4 La 2.75
Rh4 0.5000 0.5000 0.5000  4 La 2.75
Au1 0.0000 0.0000 0.5000  4 La 3.07
Au2 0.0000 0.5000 0.7500  4 La 3.07
Au3 0.5000 0.0000 0.2500  4 La 3.07
Au4 0.5000 0.5000 0.0000  4 La 3.07

Output
* spin magnetization: 0.000 μB per cell
* energy of formation: -1.98 eV per formula unit


Entry 13:
Compound: Tb2Pm4Dy
Source: Alexandria
Functional: PBE
Structure: optimized geometry

Cell: 6.2026 6.6487 11.6665 Å, 90.00 104.49 90.00°
With the nearest neighbours (Å) after each atom.
Atoms (fractional coordinates):
Tb1 0.1056 0.2500 0.4949  6 Pm 3.40-3.70, 1 Dy 3.45, 2 Tb 3.59
Tb2 0.2127 0.2500 0.0755  9 Pm 3.40-3.67
Tb3 0.7873 0.7500 0.9245  9 Pm 3.40-3.67
Tb4 0.8944 0.7500 0.5051  6 Pm 3.40-3.70, 1 Dy 3.45, 2 Tb 3.59
Pm1 0.1482 0.0091 0.7856  4 Pm 3.20-3.49, 1 Dy 3.46, 1 Tb 3.52
Pm2 0.1482 0.4909 0.7856  4 Pm 3.20-3.49, 1 Dy 3.46, 1 Tb 3.52
Pm3 0.3487 0.7500 0.0507  1 Dy 3.35, 4 Tb 3.40-3.46, 4 Pm 3.49-3.60
Pm4 0.4652 0.7500 0.6378  3 Dy 3.39-3.50, 2 Pm 3.39, 3 Tb 3.40-3.49
Pm5 0.5348 0.2500 0.3622  3 Dy 3.39-3.50, 2 Pm 3.39, 3 Tb 3.40-3.49
Pm6 0.6513 0.2500 0.9493  1 Dy 3.35, 4 Tb 3.40-3.46, 4 Pm 3.49-3.60
Pm7 0.8518 0.5091 0.2144  4 Pm 3.20-3.49, 1 Dy 3.46, 1 Tb 3.52
Pm8 0.8518 0.9909 0.2144  4 Pm 3.20-3.49, 1 Dy 3.46, 1 Tb 3.52
Dy1 0.3506 0.7500 0.3381  6 Pm 3.35-3.50, 1 Tb 3.45
Dy2 0.6494 0.2500 0.6619  6 Pm 3.35-3.50, 1 Tb 3.45

Output
* spin magnetization: 0.000 μB per cell
* energy of formation: 0.87 eV per formula unit
* E above lowest polymorph: 0.0 meV/atom


Entry 14:
Compound: Ac2CuI2
Source: Alexandria
Functional: PBE
Structure: optimized geometry

Cell: 4.4815 4.4815 36.4587 Å, 90.00 90.00 120.00°
With the nearest neighbours (Å) after each atom.
Atoms (fractional coordinates):
Ac1 0.0000 0.0000 0.1182  3 Cu 3.13, 3 I 3.44
Ac2 0.0000 0.0000 0.8818  3 Cu 3.13, 3 I 3.44
Ac3 0.3333 0.6667 0.5485  3 Cu 3.13, 3 I 3.44
Ac4 0.3333 0.6667 0.7849  3 Cu 3.13, 3 I 3.44
Ac5 0.6667 0.3333 0.2151  3 Cu 3.13, 3 I 3.44
Ac6 0.6667 0.3333 0.4515  3 Cu 3.13, 3 I 3.44
Cu1 0.0000 0.0000 0.5000  6 Ac 3.13
Cu2 0.3333 0.6667 0.1667  6 Ac 3.13
Cu3 0.6667 0.3333 0.8333  6 Ac 3.13
I1 0.0000 0.0000 0.2774  3 Ac 3.44
I2 0.0000 0.0000 0.7226  3 Ac 3.44
I3 0.3333 0.6667 0.3893  3 Ac 3.44
I4 0.3333 0.6667 0.9440  3 Ac 3.44
I5 0.6667 0.3333 0.0560  3 Ac 3.44
I6 0.6667 0.3333 0.6107  3 Ac 3.44

Output
* spin magnetization: 0.000 μB per cell
* energy relative to the elements, uncorrected: -81 kJ/mol of atoms


Entry 15:
Compound: RbLaTaRe2
Source: Alexandria
Functional: PBE
Structure: optimized geometry

Cell: 4.9082 4.9082 4.8383 Å, 90.00 90.00 90.00°
With the nearest neighbours (Å) after each atom.
Atoms (fractional coordinates):
Rb1 0.0000 0.0000 0.0000  2 Ta 2.42, 4 Re 2.45
La1 0.5000 0.5000 0.5000  8 Re 3.45, 4 Ta 3.47
Ta1 0.0000 0.0000 0.5000  2 Rb 2.42
Re1 0.0000 0.5000 0.0000  2 Rb 2.45
Re2 0.5000 0.0000 0.0000  2 Rb 2.45

Output
* spin magnetization: 0.587 μB per cell
* energy of formation: 15.09 eV per formula unit